(1)
Computed, not measured: a relaxed structure of MnAlSe3 at the GGA-PBE level of DFT.

CIF file:
```
data_MnAlSe3
_cell_length_a 6.2169
_cell_length_b 3.6405
_cell_length_c 8.7988
_cell_angle_alpha 90.00
_cell_angle_beta 105.15
_cell_angle_gamma 90.00
_symmetry_space_group_name_H-M 'P 1 21/m 1'
_symmetry_Int_Tables_number 11
loop_
_symmetry_equiv_pos_as_xyz
'x,y,z'
'-x,-y,-z'
'-x,y+1/2,-z'
'x,-y+1/2,z'
loop_
_atom_site_label
_atom_site_type_symbol
_atom_site_fract_x
_atom_site_fract_y
_atom_site_fract_z
Mn1 Mn 0.2046 0.2500 0.0166
Al1 Al 0.3731 0.2500 0.3442
Se1 Se 0.0577 0.7500 0.8380
Se2 Se 0.2393 0.7500 0.4851
Se3 Se 0.4660 0.7500 0.1392
```

Computed properties:
Formation energy without anion corrections: -0.478 eV per atom
Total energy: -5.1510 eV/atom
DOS(E_F): 0.000 states/eV per atom



(2)
Computed, not measured: a relaxed structure of MnAlSe3 at the GGA-PBE level of DFT.

CIF file:
```
data_MnAlSe3
_cell_length_a 5.1913
_cell_length_b 13.4366
_cell_length_c 7.7373
_cell_angle_alpha 90.00
_cell_angle_beta 90.00
_cell_angle_gamma 90.00
_symmetry_space_group_name_H-M 'C m c m'
_symmetry_Int_Tables_number 63
_symmetry_space_group_name_Hall '-C 2c 2'
loop_
_atom_site_label
_atom_site_type_symbol
_atom_site_fract_x
_atom_site_fract_y
_atom_site_fract_z
Mn1 Mn 0.0000 0.0976 0.2500
Al1 Al 0.0000 0.4176 0.7500
Se1 Se 0.0000 0.0000 0.0000
Se2 Se 0.2483 0.2484 0.2500
```

Computed properties:
Formation energy without anion corrections: 0.027 eV per atom
Total energy: -4.6462 eV/atom
DOS(E_F): 0.445 states/eV per atom



(3)
Computed, not measured: a relaxed structure of MnAlSe3 at the GGA-PBE level of DFT.

CIF file:
```
data_MnAlSe3
_cell_length_a 5.2632
_cell_length_b 19.1770
_cell_length_c 4.8949
_cell_angle_alpha 90.00
_cell_angle_beta 90.00
_cell_angle_gamma 90.00
_symmetry_space_group_name_H-M 'C m c m'
_symmetry_Int_Tables_number 63
_symmetry_space_group_name_Hall '-C 2c 2'
loop_
_atom_site_label
_atom_site_type_symbol
_atom_site_fract_x
_atom_site_fract_y
_atom_site_fract_z
Mn1 Mn 0.0000 0.0497 0.2500
Al1 Al 0.0000 0.3654 0.2500
Se1 Se 0.0000 0.5000 0.0000
Se2 Se 0.2491 0.3348 0.7500
```

Computed properties:
Formation energy without anion corrections: 0.130 eV per atom
Total energy: -4.5428 eV/atom
DOS(E_F): 0.387 states/eV per atom



(4)
Computed, not measured: a relaxed structure of MnAlSe3 at the GGA-PBE level of DFT.

CIF file:
```
data_MnAlSe3
_cell_length_a 7.9616
_cell_length_b 7.3430
_cell_length_c 8.7990
_cell_angle_alpha 90.00
_cell_angle_beta 110.45
_cell_angle_gamma 90.00
_symmetry_space_group_name_H-M 'P 1 21/c 1'
_symmetry_Int_Tables_number 14
loop_
_symmetry_equiv_pos_as_xyz
'x,y,z'
'-x,-y,-z'
'-x,y+1/2,-z+1/2'
'x,-y+1/2,z+1/2'
loop_
_atom_site_label
_atom_site_type_symbol
_atom_site_fract_x
_atom_site_fract_y
_atom_site_fract_z
Mn1 Mn 0.2058 0.1487 0.0996
Al1 Al 0.4084 0.6935 0.0270
Se1 Se 0.1223 0.6366 0.4433
Se2 Se 0.2647 0.1070 0.4062
Se3 Se 0.4624 0.5985 0.3137
```

Computed properties:
Formation energy without anion corrections: -0.499 eV per atom
Total energy: -5.1717 eV/atom
DOS(E_F): 0.129 states/eV per atom



(5)
Computed, not measured: a relaxed structure of MnAlSe3 at the GGA-PBE level of DFT.

CIF file:
```
data_MnAlSe3
_cell_length_a 11.7324
_cell_length_b 15.4503
_cell_length_c 6.2200
_cell_angle_alpha 90.00
_cell_angle_beta 120.23
_cell_angle_gamma 90.00
_symmetry_space_group_name_H-M 'C 1 2/c 1'
_symmetry_Int_Tables_number 15
loop_
_symmetry_equiv_pos_as_xyz
'x,y,z'
'-x,-y,-z'
'-x,y,-z+1/2'
'x,-y,z+1/2'
'x+1/2,y+1/2,z'
'-x+1/2,-y+1/2,-z'
'-x+1/2,y+1/2,-z+1/2'
'x+1/2,-y+1/2,z+1/2'
loop_
_atom_site_label
_atom_site_type_symbol
_atom_site_fract_x
_atom_site_fract_y
_atom_site_fract_z
Mn1 Mn 0.1252 0.0849 0.1784
Al1 Al 0.0000 0.3250 0.7500
Al2 Al 0.0000 0.3306 0.2500
Se1 Se 0.1171 0.0741 0.5851
Se2 Se 0.1219 0.4193 0.6207
Se3 Se 0.1393 0.2508 0.1375
```

Computed properties:
Formation energy without anion corrections: -0.589 eV per atom
Total energy: -5.2624 eV/atom
DOS(E_F): 0.233 states/eV per atom



(6)
Computed, not measured: a relaxed structure of MnAlSe3 at the GGA-PBE level of DFT.

CIF file:
```
data_MnAlSe3
_cell_length_a 6.8614
_cell_length_b 7.2054
_cell_length_c 12.2475
_cell_angle_alpha 90.00
_cell_angle_beta 123.71
_cell_angle_gamma 90.00
_symmetry_space_group_name_H-M 'P 1 21/c 1'
_symmetry_Int_Tables_number 14
loop_
_symmetry_equiv_pos_as_xyz
'x,y,z'
'-x,-y,-z'
'-x,y+1/2,-z+1/2'
'x,-y+1/2,z+1/2'
loop_
_atom_site_label
_atom_site_type_symbol
_atom_site_fract_x
_atom_site_fract_y
_atom_site_fract_z
Mn1 Mn 0.0674 0.2449 0.4961
Al1 Al 0.4514 0.0162 0.3622
Se1 Se 0.0778 0.0227 0.1532
Se2 Se 0.2222 0.5123 0.1639
Se3 Se 0.4609 0.2438 0.0038
```

Computed properties:
Formation energy without anion corrections: -0.612 eV per atom
Total energy: -5.2856 eV/atom
DOS(E_F): 0.000 states/eV per atom



(7)
Computed, not measured: a relaxed structure of MnAlSe3 at the GGA-PBE level of DFT.

CIF file:
```
data_MnAlSe3
_cell_length_a 3.6447
_cell_length_b 6.7610
_cell_length_c 11.2277
_cell_angle_alpha 93.79
_cell_angle_beta 90.00
_cell_angle_gamma 90.18
_symmetry_space_group_name_H-M 'P 1'
_symmetry_Int_Tables_number 1
loop_
_symmetry_equiv_pos_as_xyz
'x,y,z'
loop_
_atom_site_label
_atom_site_type_symbol
_atom_site_fract_x
_atom_site_fract_y
_atom_site_fract_z
Mn1 Mn 0.0000 0.0000 0.0000
Mn2 Mn 0.5003 0.0635 0.7590
Al1 Al 0.0021 0.2375 0.4643
Al2 Al 0.5002 0.9626 0.2899
Se1 Se 0.9996 0.8659 0.4156
Se2 Se 0.4989 0.8017 0.0920
Se3 Se 0.5014 0.2385 0.9601
Se4 Se 0.5025 0.3173 0.6131
Se5 Se 0.5025 0.3180 0.3113
Se6 Se 0.9989 0.8297 0.7892
```

Computed properties:
Formation energy without anion corrections: -0.586 eV per atom
Total energy: -5.2594 eV/atom
DOS(E_F): 0.230 states/eV per atom



(8)
Computed, not measured: a relaxed structure of MnAlSe3 at the GGA-PBE level of DFT.

CIF file:
```
data_MnAlSe3
_cell_length_a 6.4761
_cell_length_b 6.4761
_cell_length_c 17.4261
_cell_angle_alpha 90.00
_cell_angle_beta 90.00
_cell_angle_gamma 120.00
_symmetry_space_group_name_H-M 'R -3'
_symmetry_Int_Tables_number 148
_symmetry_space_group_name_Hall '-R 3'
loop_
_atom_site_label
_atom_site_type_symbol
_atom_site_fract_x
_atom_site_fract_y
_atom_site_fract_z
Mn1 Mn 0.0000 0.0000 0.1541
Al1 Al 0.0000 0.0000 0.3486
Se1 Se 0.0027 0.3099 0.7487
```

Computed properties:
Formation energy without anion corrections: -0.563 eV per atom
Total energy: -5.2358 eV/atom
DOS(E_F): 0.357 states/eV per atom



(9)
Computed, not measured: a relaxed structure of MnAlSe3 at the GGA-PBE level of DFT.

CIF file:
```
data_MnAlSe3
_cell_length_a 12.3857
_cell_length_b 11.4752
_cell_length_c 6.5533
_cell_angle_alpha 90.00
_cell_angle_beta 102.09
_cell_angle_gamma 90.00
_symmetry_space_group_name_H-M 'C 1 2/c 1'
_symmetry_Int_Tables_number 15
loop_
_symmetry_equiv_pos_as_xyz
'x,y,z'
'-x,-y,-z'
'-x,y,-z+1/2'
'x,-y,z+1/2'
'x+1/2,y+1/2,z'
'-x+1/2,-y+1/2,-z'
'-x+1/2,y+1/2,-z+1/2'
'x+1/2,-y+1/2,z+1/2'
loop_
_atom_site_label
_atom_site_type_symbol
_atom_site_fract_x
_atom_site_fract_y
_atom_site_fract_z
Mn1 Mn 0.0000 0.0977 0.2500
Mn2 Mn 0.0000 0.2590 0.7500
Al1 Al 0.1858 0.4097 0.2970
Se1 Se 0.1098 0.0823 0.6216
Se2 Se 0.1273 0.2328 0.1050
Se3 Se 0.1272 0.4107 0.6218
```

Computed properties:
Formation energy without anion corrections: -0.563 eV per atom
Total energy: -5.2360 eV/atom
DOS(E_F): 0.325 states/eV per atom